Below is crystalline RbPtCl at its relaxed geometry, with properties calculated at the PBE level.

a = 7.071 Å, b = 7.071 Å, c = 7.071 Å
α = 90.00°, β = 90.00°, γ = 90.00°
Space group F-43m (No. 216)
Symmetry-distinct sites (fractional):
Rb: 0.000 0.000 0.000 [4 per cell]
Pt: 0.000 0.000 0.500 [4 per cell]
Cl: 0.250 0.250 0.250 [4 per cell]

Calculated values
VASP energy ... -33.0 eV for the cell shown
Energy relative to the lowest polymorph listed for this composition ... 972 meV/atom
Energy relative to the elements, uncorrected ... 0.198 eV/atom